Crystalline Mn2PCl at its relaxed geometry, computed with PBE.

Unit cell a=6.4259 b=6.4259 c=6.4259 alpha=90.00 beta=90.00 gamma=90.00
Space group F-43m (No. 216)
Asymmetric unit:
Mn  0.0000  0.0000  0.0000 [4 per cell]
Mn  0.2500  0.2500  0.2500 [4 per cell]
P  0.2500  0.2500  0.7500 [4 per cell]
Cl  0.0000  0.0000  0.5000 [4 per cell]

## Properties
The magnetization comes out at 32.09 μB per cell. The formation energy from raw total energies comes out at 283 kJ/mol of formula units. For the density, the calculation gives 4.41 g cm⁻³. The energy above the most stable polymorph in this dataset is 1.137 eV/atom.